Entry 1:
Computed, not measured: a relaxed structure of Ag2Sn2S7 at the PBE-GGA level of DFT.

Lattice parameters (Å, degrees): 6.466 6.924 6.924 121.60 98.74 98.74
Positions (direct):
S  0.000  0.000  0.000
S  0.671  0.726  0.726
Ag  0.706  0.185  0.185
S  0.329  0.274  0.274
Ag  0.294  0.815  0.815
Sn  0.500  0.313  0.687
S  0.762  0.481  0.091
S  0.238  0.519  0.909
Sn  0.500  0.687  0.313
S  0.238  0.909  0.519
S  0.762  0.091  0.481

Space-group type   C2/m (12)
Crystal system   monoclinic
Formation energy from raw total energies   -0.052 eV/atom
Total moment   0.000 μB per atom

=====

Entry 2:
Computed, not measured: a relaxed structure of Ag2Sn2S3 at the PBE-GGA level of DFT.

Lattice parameters (Å, degrees): 3.769 7.638 6.694 106.47 106.35 90.00
Positions (direct):
S  0.276  0.798  0.553
Sn  0.383  0.216  0.765
Sn  0.617  0.784  0.235
Ag  0.167  0.391  0.334
S  0.000  0.500  0.000
S  0.724  0.202  0.447
Ag  0.833  0.609  0.666

Space-group type   C2/m (12)
Crystal system   monoclinic
Polymorph energy (0 for the lowest one)   21 meV per atom
Formation energy from raw total energies   -0.150 eV/atom
Total moment   0.000 μB per atom

=====

Entry 3:
Computed, not measured: a relaxed structure of Ag2Sn2S3 at the PBE-GGA level of DFT.

Lattice parameters (Å, degrees): 6.747 7.433 8.144 90.00 90.00 118.50
Positions (direct):
Ag  0.446  0.274  0.846
Sn  0.358  0.274  0.339
S  0.500  0.000  0.000
S  0.836  0.610  0.077
Sn  0.858  0.274  0.161
Sn  0.142  0.726  0.839
Ag  0.554  0.726  0.154
Ag  0.054  0.726  0.346
Sn  0.642  0.726  0.661
S  0.336  0.610  0.423
S  0.164  0.390  0.923
S  0.000  0.000  0.500
S  0.664  0.390  0.577
Ag  0.946  0.274  0.654

Space-group type   P2_1/c (14)
Crystal system   monoclinic
Polymorph energy (0 for the lowest one)   0 meV per atom
Formation energy from raw total energies   -0.171 eV/atom
Total moment   0.000 μB per atom